A geometry-optimized TmZnGa2Cu structure. Source: the Alexandria database, functional GGA-PBE.

**Calculated formation energy**: -193 kJ/mol of formula units
**Density**: 8.297 g/cm³
**SG**: I-4m2 (119)
**Crystal system**: tetragonal
**Raw total energy**: -3.580 eV per atom

Unit cell a=6.0202 b=6.0202 c=6.0202 alpha=140.50 beta=140.50 gamma=57.09
Fractional positions:
Tm 0.0000 0.0000 0.0000
Zn 0.7500 0.2500 0.5000
Ga 0.3855 0.3855 0.0000
Ga 0.6145 0.6145 0.0000
Cu 0.2500 0.7500 0.5000